[1]
First-principles (GGA-PBEsol) data for TiWN2F after structural relaxation, as listed in Alexandria via LeMat-Bulk.

The calculation puts the density of states at the Fermi level at 0.872 states/eV per atom.

Unit cell a=3.9484 b=3.9484 c=3.8828 alpha=90.00 beta=90.00 gamma=90.00
Closest atoms and distances in Å follow each position.
Element x y z (fractional)
Ti (0.0000, 0.0000, 0.0000)  8 N 2.77, 4 F 2.79
W (0.5000, 0.5000, 0.5000)  2 F 1.94, 4 N 1.97
N (0.0000, 0.5000, 0.5000)  2 W 1.97
N (0.5000, 0.0000, 0.5000)  2 W 1.97
F (0.5000, 0.5000, 0.0000)  2 W 1.94


[2]
First-principles (GGA-PBEsol) data for TlNF3 after structural relaxation, as listed in Alexandria via LeMat-Bulk.

The calculation puts the density of states at the Fermi level at 0.701 states/eV per atom.

Unit cell a=3.9429 b=3.9429 c=3.9429 alpha=90.00 beta=90.00 gamma=90.00
Closest atoms and distances in Å follow each position.
Element x y z (fractional)
Tl (0.0000, 0.0000, 0.0000)  12 F 2.79
N (0.5000, 0.5000, 0.5000)  6 F 1.97
F (0.0000, 0.5000, 0.5000)  2 N 1.97
F (0.5000, 0.0000, 0.5000)  2 N 1.97
F (0.5000, 0.5000, 0.0000)  2 N 1.97


[3]
First-principles (GGA-PBEsol) data for YTlNF2 after structural relaxation, as listed in Alexandria via LeMat-Bulk.

The calculation puts the density of states at the Fermi level at 0.307 states/eV per atom.

Unit cell a=4.4578 b=4.4578 c=4.2164 alpha=90.00 beta=90.00 gamma=90.00
Closest atoms and distances in Å follow each position.
Element x y z (fractional)
Y (0.0000, 0.0000, 0.0000)  8 F 3.07, 4 N 3.15
Tl (0.5000, 0.5000, 0.5000)  2 N 2.11, 4 F 2.23
N (0.5000, 0.5000, 0.0000)  2 Tl 2.11
F (0.0000, 0.5000, 0.5000)  2 Tl 2.23
F (0.5000, 0.0000, 0.5000)  2 Tl 2.23


[4]
First-principles (GGA-PBEsol) data for YZrNF2 after structural relaxation, as listed in Alexandria via LeMat-Bulk.

The calculation puts the density of states at the Fermi level at 0.926 states/eV per atom.

Unit cell a=4.1694 b=4.1694 c=4.3037 alpha=90.00 beta=90.00 gamma=90.00
Closest atoms and distances in Å follow each position.
Element x y z (fractional)
Y (0.0000, 0.0000, 0.0000)  4 N 2.95, 8 F 3.00
Zr (0.5000, 0.5000, 0.5000)  4 F 2.08, 2 N 2.15
N (0.5000, 0.5000, 0.0000)  2 Zr 2.15
F (0.0000, 0.5000, 0.5000)  2 Zr 2.08
F (0.5000, 0.0000, 0.5000)  2 Zr 2.08


[5]
First-principles (GGA-PBEsol) data for YZrN2F after structural relaxation, as listed in Alexandria via LeMat-Bulk.

The calculation puts the density of states at the Fermi level at 0.027 states/eV per atom.

Unit cell a=4.2477 b=4.2477 c=3.9454 alpha=90.00 beta=90.00 gamma=90.00
Closest atoms and distances in Å follow each position.
Element x y z (fractional)
Y (0.0000, 0.0000, 0.0000)  8 N 2.90, 4 F 3.00
Zr (0.5000, 0.5000, 0.5000)  2 F 1.97, 4 N 2.12
N (0.0000, 0.5000, 0.5000)  2 Zr 2.12
N (0.5000, 0.0000, 0.5000)  2 Zr 2.12
F (0.5000, 0.5000, 0.0000)  2 Zr 1.97


[6]
First-principles (GGA-PBEsol) data for ZnN2F2 after structural relaxation, as listed in Alexandria via LeMat-Bulk.

As for the energy above the most stable polymorph in this dataset: 1.8033 eV per atom. The calculation puts the density of states at the Fermi level at 1.144 states/eV per atom.

Unit cell a=3.9709 b=3.9709 c=3.7917 alpha=90.00 beta=90.00 gamma=90.00
Closest atoms and distances in Å follow each position.
Element x y z (fractional)
Zn (0.0000, 0.0000, 0.0000)  2 F 1.90, 4 N 1.99
N (0.0000, 0.5000, 0.0000)  2 Zn 1.99
N (0.5000, 0.0000, 0.0000)  2 Zn 1.99
F (0.0000, 0.0000, 0.5000)  2 Zn 1.90
F (0.5000, 0.5000, 0.5000)  8 N 2.75, 4 F 2.81


[7]
First-principles (GGA-PBEsol) data for Zn2NF after structural relaxation, as listed in Alexandria via LeMat-Bulk.

Unit cell a=5.8995 b=5.8995 c=5.8995 alpha=133.77 beta=133.77 gamma=67.45
Closest atoms and distances in Å follow each position.
Element x y z (fractional)
Zn (0.0605, 0.6250, 0.9355)  2 N 1.89
Zn (0.3750, 0.3105, 0.4355)  2 N 1.89
Zn (0.6895, 0.1250, 0.0645)  2 N 1.89
Zn (0.8750, 0.9395, 0.5645)  2 N 1.89
N (0.0000, 0.0000, 0.0000)  4 Zn 1.89
N (0.7500, 0.2500, 0.5000)  4 Zn 1.89
F (0.2500, 0.7500, 0.5000)  4 Zn 2.23
F (0.5000, 0.5000, 0.0000)  4 Zn 2.23


[8]
First-principles (GGA-PBEsol) data for ZnN2F2 after structural relaxation, as listed in Alexandria via LeMat-Bulk.

As for the energy above the most stable polymorph in this dataset: 1.6185 eV per atom. The calculation puts the density of states at the Fermi level at 0.933 states/eV per atom.

Unit cell a=4.0011 b=4.0011 c=3.9740 alpha=90.00 beta=90.00 gamma=90.00
Closest atoms and distances in Å follow each position.
Element x y z (fractional)
Zn (0.0000, 0.0000, 0.0000)  2 N 1.99, 4 F 2.00
N (0.0000, 0.0000, 0.5000)  2 Zn 1.99
N (0.5000, 0.5000, 0.5000)  8 F 2.82, 4 N 2.83
F (0.0000, 0.5000, 0.0000)  2 Zn 2.00
F (0.5000, 0.0000, 0.0000)  2 Zn 2.00


[9]
First-principles (GGA-PBEsol) data for ZnN2F2 after structural relaxation, as listed in Alexandria via LeMat-Bulk.

As for the energy above the most stable polymorph in this dataset: 0.0000 eV per atom. The calculation puts the density of states at the Fermi level at 0.000 states/eV per atom.

Unit cell a=4.0789 b=4.0789 c=4.0789 alpha=113.26 beta=113.26 gamma=102.14
Closest atoms and distances in Å follow each position.
Element x y z (fractional)
Zn (0.0000, 0.0000, 0.0000)  2 N 2.01
N (0.3916, 0.3916, 0.0000)  1 N 1.11
N (0.6084, 0.6084, 0.0000)  1 N 1.11
F (0.2500, 0.7500, 0.5000)  4 N 2.36, 2 F 2.56, 4 Zn 2.58
F (0.7500, 0.2500, 0.5000)  4 N 2.36, 2 F 2.56, 4 Zn 2.58


no.,ΔE_f (raw) (eV/atom),volume (Å³/cell)
1,-0.40,60.5
2,-0.15,61.3
3,-0.87,83.8
4,-1.88,74.8
5,-1.68,71.2
6,1.11,59.8
7,-0.86,105.3
8,0.93,63.6
9,-0.69,51.6